No. 1
The following is a GGA-PBE calculation of a relaxed La4FeSn crystal, from the Alexandria database.

Calculated values
Energy of formation   -0.301 eV per atom
Density of states at the Fermi level   1.042 states/eV/atom
E_tot   -5.664 eV per atom

Geometry as CIF:
```
data_La4FeSn
_space_group_name_H-M_alt 'C 1 2/m 1'
_space_group_IT_number 12
_cell_length_a 17.280
_cell_length_b 7.145
_cell_length_c 6.156
_cell_angle_alpha 90.00
_cell_angle_beta 108.91
_cell_angle_gamma 90.00
loop_
_space_group_symop_operation_xyz
'x,y,z'
'-x,-y,-z'
'-x,y,-z'
'x,-y,z'
'x+1/2,y+1/2,z'
'-x+1/2,-y+1/2,-z'
'-x+1/2,y+1/2,-z'
'x+1/2,-y+1/2,z'
loop_
_atom_site_label
_atom_site_fract_x
_atom_site_fract_y
_atom_site_fract_z
La1 0.000 0.240 0.000
La2 0.118 0.248 0.607
La3 0.198 0.500 0.208
Fe1 0.039 0.500 0.357
Sn1 0.193 0.000 0.197
```

---

No. 2
The following is a GGA-PBE calculation of a relaxed CaFeOs crystal, from the Alexandria database.

Calculated values
Energy of formation   0.267 eV per atom
Density of states at the Fermi level   0.714 states/eV/atom
E_tot   -6.965 eV per atom

Geometry as CIF:
```
data_CaFeOs
_space_group_name_H-M_alt 'C 1 2/m 1'
_space_group_IT_number 12
_cell_length_a 11.190
_cell_length_b 3.999
_cell_length_c 5.919
_cell_angle_alpha 90.00
_cell_angle_beta 114.32
_cell_angle_gamma 90.00
loop_
_space_group_symop_operation_xyz
'x,y,z'
'-x,-y,-z'
'-x,y,-z'
'x,-y,z'
'x+1/2,y+1/2,z'
'-x+1/2,-y+1/2,-z'
'-x+1/2,y+1/2,-z'
'x+1/2,-y+1/2,z'
loop_
_atom_site_label
_atom_site_fract_x
_atom_site_fract_y
_atom_site_fract_z
Ca1 0.116 0.000 0.294
Fe1 0.209 0.000 0.870
Os1 0.098 0.500 0.696
```